DFT (PBE) results for a relaxed structure of Mg2CuRh.

Calculated values
E ... -0.145 hartree per atom
Fermi-level density of states ... 1.03 states/eV/cell
Symmetry ... No. 8

abc: 5.071 5.071 4.451
angles: 108.65 108.65 35.57
Atoms (fractional coordinates):
Mg  0.000  0.000  0.000
Mg  0.221  0.221  0.660
Cu  0.472  0.472  0.477
Rh  0.746  0.746  0.177

---

DFT (PBE) results for a relaxed structure of Sm3Si2Rh6.

Calculated values
ΔE_f (raw) ... -831.2 kJ/mol of formula units
Fermi-level density of states ... 16.80 states/eV/cell
Symmetry ... No. 229

abc: 8.111 8.111 8.111
angles: 109.47 109.47 109.47
Atoms (fractional coordinates):
Sm  0.000  0.294  0.294
Sm  0.000  0.706  0.706
Sm  0.294  0.000  0.294
Sm  0.294  0.294  0.000
Sm  0.706  0.000  0.706
Sm  0.706  0.706  0.000
Si  0.000  0.000  0.500
Si  0.000  0.500  0.000
Si  0.500  0.000  0.000
Si  0.500  0.500  0.500
Rh  0.000  0.313  0.687
Rh  0.000  0.687  0.313
Rh  0.313  0.000  0.687
Rh  0.313  0.313  0.626
Rh  0.313  0.626  0.313
Rh  0.313  0.687  0.000
Rh  0.374  0.687  0.687
Rh  0.626  0.313  0.313
Rh  0.687  0.000  0.313
Rh  0.687  0.313  0.000
Rh  0.687  0.374  0.687
Rh  0.687  0.687  0.374

---

DFT (PBE) results for a relaxed structure of La8Tb2Nd3.

Calculated values
E ... -0.171 hartree per atom
Fermi-level density of states ... 19.56 states/eV/cell
Symmetry ... No. 12

abc: 11.073 11.073 5.936
angles: 90.03 90.03 40.97
Atoms (fractional coordinates):
La  0.098  0.690  0.000
La  0.175  0.175  0.501
La  0.310  0.902  0.000
La  0.364  0.364  0.501
La  0.636  0.636  0.499
La  0.690  0.098  0.000
La  0.825  0.825  0.499
La  0.902  0.310  0.000
Tb  0.258  0.258  0.001
Tb  0.742  0.742  0.999
Nd  0.218  0.782  0.500
Nd  0.500  0.500  0.000
Nd  0.782  0.218  0.500

---

DFT (PBE) results for a relaxed structure of SmSc2AgC.

Calculated values
E ... -0.227 hartree per atom
Fermi-level density of states ... 4.04 states/eV/cell
Symmetry ... No. 123

abc: 4.500 4.500 5.158
angles: 90.00 90.00 90.00
Atoms (fractional coordinates):
Sm  0.000  0.000  0.000
Sc  0.000  0.500  0.500
Sc  0.500  0.000  0.500
Ag  0.500  0.500  0.000
C  0.000  0.000  0.500

---

DFT (PBE) results for a relaxed structure of Mg2Be3.

Calculated values
E ... -0.085 hartree per atom
Fermi-level density of states ... 1.43 states/eV/cell
Symmetry ... No. 166

abc: 10.570 10.570 10.570
angles: 15.12 15.12 15.12
Atoms (fractional coordinates):
Mg  0.094  0.094  0.094
Mg  0.906  0.906  0.906
Be  0.309  0.309  0.309
Be  0.500  0.500  0.500
Be  0.691  0.691  0.691

---

DFT (PBE) results for a relaxed structure of KSmTi2O6.

Calculated values
ΔE_f (raw) ... -2915.4 kJ/mol of formula units
Fermi-level density of states ... 0.00 states/eV/cell
Symmetry ... No. 15

abc: 7.431 7.431 6.166
angles: 101.72 101.72 86.49
Atoms (fractional coordinates):
K  0.189  0.811  0.750
K  0.811  0.189  0.250
Sm  0.400  0.600  0.250
Sm  0.600  0.400  0.750
Ti  0.125  0.295  0.777
Ti  0.295  0.125  0.277
Ti  0.705  0.875  0.723
Ti  0.875  0.705  0.223
O  0.100  0.608  0.290
O  0.140  0.166  0.011
O  0.166  0.140  0.511
O  0.308  0.465  0.867
O  0.392  0.900  0.210
O  0.465  0.308  0.367
O  0.535  0.692  0.633
O  0.608  0.100  0.790
O  0.692  0.535  0.133
O  0.834  0.860  0.489
O  0.860  0.834  0.989
O  0.900  0.392  0.710

---

DFT (PBE) results for a relaxed structure of Pr3AsPO.

Calculated values
ΔE_f (raw) ... -1092.9 kJ/mol of formula units
Fermi-level density of states ... 3.81 states/eV/cell
Symmetry ... No. 11

abc: 8.602 4.145 9.050
angles: 90.00 100.41 90.00
Atoms (fractional coordinates):
Pr  0.088  0.250  0.338
Pr  0.320  0.250  0.987
Pr  0.394  0.750  0.647
Pr  0.606  0.250  0.353
Pr  0.680  0.750  0.013
Pr  0.912  0.750  0.662
As  0.333  0.750  0.287
As  0.667  0.250  0.713
P  0.154  0.250  0.661
P  0.846  0.750  0.339
O  0.409  0.750  0.912
O  0.591  0.250  0.088

---

DFT (PBE) results for a relaxed structure of Y2ZnRe.

Calculated values
E ... -0.241 hartree per atom
Fermi-level density of states ... 3.84 states/eV/cell
Symmetry ... No. 44

abc: 5.819 5.819 5.819
angles: 143.86 131.17 62.23
Atoms (fractional coordinates):
Y  0.000  0.000  0.000
Y  0.712  0.212  0.500
Zn  0.270  0.770  0.500
Re  0.457  0.457  0.000

---

DFT (PBE) results for a relaxed structure of MgHg4Ru.

Calculated values
E ... -0.053 hartree per atom
Fermi-level density of states ... 5.77 states/eV/cell
Symmetry ... No. 216

abc: 5.677 5.677 5.677
angles: 60.00 60.00 60.00
Atoms (fractional coordinates):
Mg  0.000  0.000  0.000
Hg  0.375  0.375  0.375
Hg  0.375  0.375  0.874
Hg  0.375  0.874  0.375
Hg  0.874  0.375  0.375
Ru  0.750  0.750  0.750

---

DFT (PBE) results for a relaxed structure of Ce7Ga2Ru2.

Calculated values
E ... -0.230 hartree per atom
Fermi-level density of states ... 26.33 states/eV/cell
Symmetry ... No. 65

abc: 6.688 6.688 6.620
angles: 90.00 90.00 107.45
Atoms (fractional coordinates):
Ce  0.000  0.000  0.000
Ce  0.000  0.500  0.278
Ce  0.000  0.500  0.722
Ce  0.500  0.000  0.278
Ce  0.500  0.000  0.722
Ce  0.500  0.500  0.288
Ce  0.500  0.500  0.712
Ga  0.157  0.157  0.500
Ga  0.843  0.843  0.500
Ru  0.291  0.709  0.000
Ru  0.709  0.291  0.000

---

DFT (PBE) results for a relaxed structure of YHo2IO8.

Calculated values
ΔE_f (raw) ... -2727.5 kJ/mol of formula units
Fermi-level density of states ... 0.00 states/eV/cell
Symmetry ... No. 65

abc: 5.008 5.008 6.824
angles: 90.00 90.00 90.74
Atoms (fractional coordinates):
Y  0.000  0.000  0.000
Ho  0.500  0.500  0.248
Ho  0.500  0.500  0.752
I  0.000  0.000  0.500
O  0.181  0.819  0.293
O  0.181  0.819  0.707
O  0.270  0.270  0.500
O  0.310  0.310  0.000
O  0.690  0.690  0.000
O  0.730  0.730  0.500
O  0.819  0.181  0.293
O  0.819  0.181  0.707

---

DFT (PBE) results for a relaxed structure of SbTeAu2.

Calculated values
ΔE_f (raw) ... 111.7 kJ/mol of formula units
Fermi-level density of states ... 1.90 states/eV/cell
Symmetry ... No. 216

abc: 5.084 5.084 5.084
angles: 60.00 60.00 60.00
Atoms (fractional coordinates):
Sb  0.000  0.000  0.000
Te  0.250  0.250  0.250
Au  0.500  0.500  0.500
Au  0.750  0.750  0.750